ZrSc2TiP4 | PBE | optimized geometry

```
ZrSc2TiP4
1.0
3.680 0.000 0.000
0.000 6.372 0.105
0.000 -2.233 6.040
P Sc Ti Zr
4 2 1 1
Cartesian
1.840 3.052 4.623
0.000 4.171 1.535
0.000 -0.032 4.610
1.840 1.086 1.521
0.000 2.069 3.072
1.840 -1.117 3.020
1.840 3.186 0.052
0.000 0.000 0.000
```

## Properties
Its crystal system is monoclinic. As for the total DFT energy (no corrections): -7.69 eV/atom.

Li3CrH7 | PBE | optimized geometry

```
Li3CrH7
1.0
4.139 -0.020 2.058
-0.971 4.023 2.058
-0.046 -0.058 4.948
H Li Cr
7 3 1
Cartesian
2.549 3.221 7.509
-0.277 1.185 4.253
-0.112 2.579 2.488
1.217 0.003 4.253
0.406 0.513 1.421
2.536 0.484 2.488
2.029 2.565 4.835
0.166 3.082 4.489
1.529 1.932 6.711
2.961 0.871 4.489
2.987 3.775 4.135
```

## Properties
Its crystal system is monoclinic. As for the total DFT energy (no corrections): -3.73 eV/atom.

NiH3Rh2 | PBE | optimized geometry

```
NiH3Rh2
1.0
0.619 -2.664 -0.767
0.330 -0.708 2.731
-6.086 0.285 -0.663
Rh H Ni
2 3 1
Cartesian
-2.634 -2.453 1.157
-1.093 -0.263 0.060
-4.433 -2.902 1.261
-3.148 -0.782 0.180
-0.580 -1.937 1.038
-4.907 -1.214 0.277
```

## Properties
Its crystal system is monoclinic. The calculation puts the offset from the most stable computed form at 0.000 eV/atom.

LiTlIn2Ni | PBE | optimized geometry

```
LiTlIn2Ni
1.0
-1.387 -3.872 -2.806
4.750 -0.781 -1.271
0.562 -3.104 4.005
Li In Ni Tl
1 2 1 1
Cartesian
1.962 -3.878 -0.036
2.375 -0.390 -0.636
-0.694 -1.936 -1.403
0.000 0.000 0.000
0.281 -1.552 2.003
```

## Properties
Its crystal system is tetragonal. The calculation puts the offset from the most stable computed form at 0.047 eV/atom.

YCdGa2Au4 | PBE | optimized geometry

```
YCdGa2Au4
1.0
4.494 0.000 0.000
2.247 3.892 0.000
2.247 1.297 9.198
Cd Au Ga Y
1 4 2 1
Cartesian
4.494 2.595 4.599
4.494 2.595 7.618
4.494 2.595 1.580
6.742 3.892 3.294
2.247 1.297 5.904
2.247 1.297 2.236
6.742 3.892 6.962
0.000 0.000 0.000
```

## Properties
Its crystal system is trigonal. As for the total DFT energy (no corrections): -3.72 eV/atom.

Na2CdCl2F2 | PBE | optimized geometry

```
Na2CdCl2F2
1.0
3.471 0.508 -0.179
0.876 5.925 -0.511
1.817 2.207 6.267
Cl Na F Cd
2 2 2 1
Cartesian
1.604 2.791 3.880
4.559 5.849 1.696
3.050 5.215 4.361
3.113 3.425 1.215
4.651 6.745 5.328
1.511 1.895 0.248
0.000 0.000 0.000
```

## Properties
Its crystal system is triclinic. As for the total DFT energy (no corrections): -3.51 eV/atom.

YIr3 | PBE | optimized geometry

```
YIr3
1.0
-5.114 -1.435 -1.651
-0.498 -2.484 4.952
-1.693 3.949 1.811
Ir Y
6 2
Cartesian
-1.892 1.390 4.204
-1.254 -1.421 4.928
-6.051 1.451 0.183
-3.802 0.057 5.327
-3.503 -0.026 -0.216
-5.413 -1.360 0.908
-4.502 1.099 2.399
-2.803 -1.069 2.713
```

## Properties
Its crystal system is orthorhombic. As for the total DFT energy (no corrections): -8.17 eV/atom.

MoAuCl2 | PBE | optimized geometry

```
MoAuCl2
1.0
3.198 0.000 0.000
0.000 5.828 0.000
0.000 0.000 4.288
Cl Mo Au
2 1 1
Cartesian
1.599 2.914 0.000
0.000 0.000 0.000
1.599 0.000 2.144
0.000 2.914 2.144
```

## Properties
Its crystal system is orthorhombic. The calculation puts the offset from the most stable computed form at 0.733 eV/atom.

Which total moment belongs to each record? In order, 0.00; 2.00; 0.94; 0.00; 0.00; 0.00; 0.00; 3.56 μB per cell.
Which calculated density belongs to each record? In order, 4.11; 1.59; 9.51; 6.57; 11.65; 3.39; 15.36; 7.56 g/cm3.